First-principles (GGA-PBE) data for crystalline TaMo2Os at its relaxed geometry, as listed in Alexandria.

Computed properties:
- magnetization (Bohr magnetons per cell) = 0.000
- offset from the most stable computed form (meV/atom) = 87
- ΔE_f (eV per atom) = -0.018
- density of states at the Fermi level (states/eV per atom) = 1.008

Unit cell a=2.787 b=4.483 c=5.222 alpha=90.00 beta=101.38 gamma=90.00
Space group P2/m (No. 10)
Asymmetric unit:
Ta 0.000 0.000 0.000 x1
Mo 0.236 0.500 0.748 x2
Os 0.500 0.000 0.500 x1